1:
The following is a DFT calculation (PBE-GGA) of a relaxed structure of Rb2InBr.

Computed properties:
Space group: Fm-3m (225)
M_tot (μB/atom): 0.00
Mass density (g cm⁻³): 3.357
Crystal system: cubic

a b c (Å): 6.3480 6.3480 6.3480
angles (deg): 60.00 60.00 60.00
Last column: nearest neighbours and their distance in Å.
Fractional coordinates of all 4 atoms:
Br1 0.0000 0.0000 0.0000  8 Rb 3.89
Rb1 0.7500 0.7500 0.7500  4 In 3.89, 4 Br 3.89
In1 0.5000 0.5000 0.5000  8 Rb 3.89
Rb2 0.2500 0.2500 0.2500  4 In 3.89, 4 Br 3.89

***

2:
The following is a DFT calculation (PBE-GGA) of a relaxed structure of Rb2InBr.

Computed properties:
Space group: I-42d (122)
M_tot (μB/atom): 0.00
Mass density (g cm⁻³): 3.027
Crystal system: tetragonal

a b c (Å): 9.7850 9.7850 8.0891
angles (deg): 52.78 52.78 90.00
Last column: nearest neighbours and their distance in Å.
Fractional coordinates of all 8 atoms:
Rb1 0.3750 0.4222 0.7500  2 Br 3.32
Br1 0.2500 0.7500 0.5000  4 Rb 3.32
Rb2 0.5778 0.1250 0.2500  2 Br 3.32
In1 0.7500 0.2500 0.5000  4 Rb 3.94, 2 Br 4.19
Rb3 0.1722 0.6250 0.2500  2 Br 3.32
In2 0.0000 0.0000 0.0000  4 Rb 3.94, 2 Br 4.19
Br2 0.5000 0.5000 0.0000  4 Rb 3.32
Rb4 0.8750 0.8278 0.7500  2 Br 3.32

***

Question: which arrangement is favored energetically? Ranking from most to least stable: 2, 1.